Entry 1:
{
  "formula": "Nb3AlSnMo3",
  "functional": "PBEsol",
  "state": "optimized geometry",
  "delta_e_f_kj_per_mol_atoms": -17.7,
  "n_ef_per_ev_cell": 6.4,
  "lattice_angstrom": [[3.6086, 2.0834, 2.9415], [-3.6086, 2.0834, 2.9415], [0.0000, -4.1668, 2.9415]],
  "species": ["Nb", "Nb", "Nb", "Al", "Sn", "Mo", "Mo", "Mo"],
  "fractional_positions": [[0.0031, 0.7468, 0.2501], [0.2501, 0.0031, 0.7468], [0.7468, 0.2501, 0.0031], [0.2499, 0.2499, 0.2499], [0.7467, 0.7467, 0.7467], [0.2479, 0.4940, 0.7474], [0.4940, 0.7474, 0.2479], [0.7474, 0.2479, 0.4940]]
}

Entry 2:
{
  "formula": "AlNi6Mo",
  "functional": "PBEsol",
  "state": "optimized geometry",
  "delta_e_f_kj_per_mol_atoms": -25.1,
  "n_ef_per_ev_cell": 25.6,
  "lattice_angstrom": [[3.5478, -5.0196, 0.0000], [3.5478, 5.0196, 0.0000], [0.0000, 0.0000, 10.0375]],
  "species": ["Al", "Al", "Al", "Al", "Ni", "Ni", "Ni", "Ni", "Ni", "Ni", "Ni", "Ni", "Ni", "Ni", "Ni", "Ni", "Ni", "Ni", "Ni", "Ni", "Ni", "Ni", "Ni", "Ni", "Ni", "Ni", "Ni", "Ni", "Mo", "Mo", "Mo", "Mo"],
  "fractional_positions": [[0.0000, 0.0000, 0.2472], [0.0000, 0.0000, 0.7528], [0.2519, 0.7481, 0.0000], [0.7481, 0.2519, 0.0000], [0.0000, 0.0000, 0.0000], [0.0000, 0.0000, 0.5000], [0.1253, 0.3759, 0.3748], [0.1253, 0.3759, 0.6252], [0.1259, 0.3746, 0.1251], [0.1259, 0.3746, 0.8749], [0.2508, 0.7492, 0.2514], [0.2508, 0.7492, 0.7486], [0.3746, 0.1259, 0.1251], [0.3746, 0.1259, 0.8749], [0.3759, 0.1253, 0.3748], [0.3759, 0.1253, 0.6252], [0.5000, 0.5000, 0.0000], [0.5000, 0.5000, 0.5000], [0.6241, 0.8747, 0.3748], [0.6241, 0.8747, 0.6252], [0.6254, 0.8741, 0.1251], [0.6254, 0.8741, 0.8749], [0.7492, 0.2508, 0.2514], [0.7492, 0.2508, 0.7486], [0.8741, 0.6254, 0.1251], [0.8741, 0.6254, 0.8749], [0.8747, 0.6241, 0.3748], [0.8747, 0.6241, 0.6252], [0.2526, 0.7474, 0.5000], [0.5000, 0.5000, 0.2436], [0.5000, 0.5000, 0.7564], [0.7474, 0.2526, 0.5000]]
}